<P>
Here is a geometry-optimized LiZr2O2 structure from the Alexandria database. Energies are from GGA-PBE.

abc: 4.449 4.449 4.825
angles: 62.55 62.55 90.00
Fractional coordinates of all 5 atoms:
O: 0.256 0.256 0.488
O: 0.744 0.744 0.512
Zr: 0.750 0.250 0.500
Zr: 0.250 0.750 0.500
Li: 0.000 0.000 0.000

Values from the calculation:
The total magnetization comes out at 0.000 μB/atom.

=====

<Q>
Here is a geometry-optimized LiZr2O2 structure from the Alexandria database. Energies are from GGA-PBE.

abc: 6.481 6.481 2.953
angles: 90.00 90.00 90.00
Fractional coordinates of all 10 atoms:
O: 0.363 0.863 0.000
O: 0.863 0.637 0.000
O: 0.637 0.137 0.000
O: 0.137 0.363 0.000
Zr: 0.163 0.663 0.500
Zr: 0.663 0.837 0.500
Zr: 0.837 0.337 0.500
Zr: 0.337 0.163 0.500
Li: 0.000 0.000 0.000
Li: 0.500 0.500 0.000

Values from the calculation:
The total magnetization comes out at 0.000 μB/atom.

=====

The most stable of them is <P>.

=====

<P>
Here is a geometry-optimized Li3ZrO structure from the Alexandria database. Energies are from GGA-PBE.

abc: 4.109 4.109 4.109
angles: 90.00 90.00 90.00
Fractional coordinates of all 5 atoms:
O: 0.000 0.000 0.000
Zr: 0.500 0.500 0.500
Li: 0.000 0.500 0.000
Li: 0.000 0.000 0.500
Li: 0.500 0.000 0.000

Values from the calculation:
The total magnetization comes out at 0.000 μB/atom.

=====

<Q>
Here is a geometry-optimized Li3ZrO structure from the Alexandria database. Energies are from GGA-PBE.

abc: 5.467 5.467 5.467
angles: 90.00 90.00 90.00
Fractional coordinates of all 5 atoms:
O: 0.500 0.500 0.500
Zr: 0.000 0.000 0.000
Li: 0.000 0.500 0.000
Li: 0.000 0.000 0.500
Li: 0.500 0.000 0.000

Values from the calculation:
The total magnetization comes out at 0.600 μB/atom.

=====

The most stable of them is <P>.

=====

<P>
Here is a geometry-optimized Li4Zr3O8 structure from the Alexandria database. Energies are from GGA-PBE.

abc: 6.227 5.428 10.179
angles: 78.62 90.00 90.00
Fractional coordinates of all 30 atoms:
Li: 0.370 0.737 0.498
Li: 0.630 0.263 0.502
Li: 0.370 0.263 0.002
Li: 0.630 0.737 0.998
Li: 0.837 0.500 0.250
Li: 0.114 0.000 0.250
Li: 0.886 0.000 0.750
Li: 0.163 0.500 0.750
Zr: 0.862 0.732 0.524
Zr: 0.598 0.000 0.250
Zr: 0.138 0.268 0.476
Zr: 0.402 0.000 0.750
Zr: 0.862 0.268 0.976
Zr: 0.138 0.732 0.024
O: 0.372 0.894 0.127
O: 0.372 0.106 0.373
O: 0.871 0.115 0.378
O: 0.129 0.885 0.622
O: 0.899 0.369 0.612
O: 0.640 0.655 0.384
O: 0.871 0.885 0.122
O: 0.101 0.631 0.388
O: 0.640 0.345 0.116
O: 0.360 0.655 0.884
O: 0.360 0.345 0.616
O: 0.129 0.115 0.878
O: 0.628 0.894 0.627
O: 0.899 0.631 0.888
O: 0.628 0.106 0.873
O: 0.101 0.369 0.112

Values from the calculation:
The total magnetization comes out at 0.000 μB/atom.

=====

<Q>
Here is a geometry-optimized Li4Zr3O8 structure from the Alexandria database. Energies are from GGA-PBE.

abc: 5.504 5.504 6.208
angles: 90.00 90.00 112.27
Fractional coordinates of all 15 atoms:
Li: 0.500 0.000 0.756
Li: 0.000 0.500 0.244
Li: 0.000 0.000 0.500
Li: 0.500 0.500 0.000
Zr: 0.000 0.000 0.000
Zr: 0.000 0.500 0.724
Zr: 0.500 0.000 0.276
O: 0.734 0.784 0.231
O: 0.216 0.266 0.769
O: 0.767 0.233 0.500
O: 0.239 0.761 0.000
O: 0.761 0.239 0.000
O: 0.233 0.767 0.500
O: 0.784 0.734 0.769
O: 0.266 0.216 0.231

Values from the calculation:
The total magnetization comes out at 0.000 μB/atom.

=====

The most stable of them is <P>.

=====

<P>
Here is a geometry-optimized LiZr2O4 structure from the Alexandria database. Energies are from GGA-PBE.

abc: 6.442 6.442 6.442
angles: 119.90 119.90 90.18
Fractional coordinates of all 14 atoms:
Li: 0.250 0.750 0.500
Li: 0.000 0.000 0.000
Zr: 0.625 0.375 0.750
Zr: 0.625 0.875 0.250
Zr: 0.625 0.375 0.250
Zr: 0.125 0.375 0.750
O: 0.863 0.139 0.276
O: 0.387 0.611 0.224
O: 0.863 0.587 0.724
O: 0.861 0.137 0.724
O: 0.413 0.137 0.276
O: 0.387 0.163 0.776
O: 0.389 0.613 0.776
O: 0.837 0.613 0.224

Values from the calculation:
The total magnetization comes out at 0.000 μB/atom.

=====

<Q>
Here is a geometry-optimized LiZr2O4 structure from the Alexandria database. Energies are from GGA-PBE.

abc: 5.176 6.099 10.851
angles: 90.00 90.00 90.00
Fractional coordinates of all 28 atoms:
Li: 0.940 0.750 0.604
Li: 0.560 0.750 0.104
Li: 0.440 0.250 0.896
Li: 0.060 0.250 0.396
Zr: 0.000 0.000 0.000
Zr: 0.000 0.500 0.000
Zr: 0.969 0.250 0.718
Zr: 0.531 0.250 0.218
Zr: 0.500 0.000 0.500
Zr: 0.500 0.500 0.500
Zr: 0.469 0.750 0.782
Zr: 0.031 0.750 0.282
O: 0.783 0.750 0.435
O: 0.727 0.986 0.671
O: 0.727 0.514 0.671
O: 0.706 0.250 0.395
O: 0.794 0.250 0.895
O: 0.773 0.986 0.171
O: 0.773 0.514 0.171
O: 0.717 0.750 0.935
O: 0.283 0.250 0.065
O: 0.227 0.014 0.829
O: 0.227 0.486 0.829
O: 0.206 0.750 0.105
O: 0.294 0.750 0.605
O: 0.273 0.014 0.329
O: 0.273 0.486 0.329
O: 0.217 0.250 0.565

Values from the calculation:
The total magnetization comes out at 0.000 μB/atom.

=====

The most stable of them is <Q>.